[1]
SrReCl2: relaxed, GGA-PBE.

Unit cell a=8.4828 b=8.4828 c=8.4828 alpha=145.29 beta=145.29 gamma=49.91
Closest atoms and distances in Å follow each position.
Sites, in units of the cell vectors:
1 Sr 0.0000 0.0000 0.0000  4 Cl 2.86
2 Sr 0.7500 0.2500 0.5000  4 Cl 2.86
3 Re 0.2500 0.7500 0.5000  4 Cl 2.45
4 Re 0.5000 0.5000 0.0000  4 Cl 2.45
5 Cl 0.2114 0.6250 0.0864  2 Re 2.45
6 Cl 0.3750 0.4614 0.5864  2 Re 2.45
7 Cl 0.5386 0.1250 0.9136  2 Re 2.45
8 Cl 0.8750 0.7886 0.4136  2 Re 2.45

Values from the calculation:
- Formation energy (no corrections): 0.4 kcal/mol of atoms
- Relative energy among the computed polymorphs: 252 meV/atom
- Space-group type: No. 122

[2]
SrRe3Cl: relaxed, GGA-PBE.

Unit cell a=6.1011 b=6.1011 c=6.1011 alpha=90.00 beta=90.00 gamma=90.00
Closest atoms and distances in Å follow each position.
Sites, in units of the cell vectors:
1 Sr 0.0000 0.0000 0.0000  6 Re 3.05
2 Re 0.0000 0.0000 0.5000  2 Sr 3.05
3 Re 0.0000 0.5000 0.0000  2 Sr 3.05
4 Re 0.5000 0.0000 0.0000  2 Sr 3.05
5 Cl 0.5000 0.5000 0.5000  12 Re 4.31

Values from the calculation:
- Formation energy (no corrections): 88.0 kcal/mol of atoms
- Relative energy among the computed polymorphs: 2139 meV/atom
- Space-group type: No. 221

[3]
Sr2ReCl2: relaxed, GGA-PBE.

Unit cell a=8.5201 b=8.5201 c=3.5084 alpha=90.00 beta=90.00 gamma=90.00
Closest atoms and distances in Å follow each position.
Sites, in units of the cell vectors:
1 Sr 0.1800 0.3200 0.0000  6 Cl 2.93-3.17
2 Sr 0.3200 0.8200 0.0000  6 Cl 2.93-3.17
3 Sr 0.6800 0.1800 0.0000  6 Cl 2.93-3.17
4 Sr 0.8200 0.6800 0.0000  6 Cl 2.93-3.17
5 Re 0.0000 0.0000 0.5000  4 Cl 3.37, 2 Re 3.51, 8 Sr 3.59
6 Re 0.5000 0.5000 0.5000  4 Cl 3.37, 2 Re 3.51, 8 Sr 3.59
7 Cl 0.1254 0.6254 0.5000  6 Sr 2.93-3.17, 1 Cl 3.02
8 Cl 0.3746 0.1254 0.5000  6 Sr 2.93-3.17, 1 Cl 3.02
9 Cl 0.6254 0.8746 0.5000  6 Sr 2.93-3.17, 1 Cl 3.02
10 Cl 0.8746 0.3746 0.5000  6 Sr 2.93-3.17, 1 Cl 3.02

Values from the calculation:
- Formation energy (no corrections): -8.5 kcal/mol of atoms
- Relative energy among the computed polymorphs: 0 meV/atom
- Space-group type: No. 127

[4]
Sr2ReCl2: relaxed, GGA-PBE.

Unit cell a=5.7239 b=5.7239 c=5.7239 alpha=118.54 beta=118.54 gamma=92.55
Closest atoms and distances in Å follow each position.
Sites, in units of the cell vectors:
1 Sr 0.2500 0.7500 0.5000  4 Cl 2.95
2 Sr 0.7500 0.2500 0.5000  4 Cl 2.95
3 Re 0.0000 0.0000 0.0000  2 Cl 2.36
4 Cl 0.2984 0.2984 0.0000  1 Re 2.36
5 Cl 0.7016 0.7016 0.0000  1 Re 2.36

Values from the calculation:
- Formation energy (no corrections): -8.4 kcal/mol of atoms
- Relative energy among the computed polymorphs: 5 meV/atom
- Space-group type: No. 139

[5]
SrReCl2: relaxed, GGA-PBE.

Unit cell a=3.3081 b=3.3081 c=8.6883 alpha=90.00 beta=90.00 gamma=90.00
Closest atoms and distances in Å follow each position.
Sites, in units of the cell vectors:
1 Sr 0.0000 0.0000 0.0000  4 Cl 2.90
2 Re 0.5000 0.5000 0.7093  4 Cl 2.51
3 Cl 0.0000 0.0000 0.6051  4 Re 2.51
4 Cl 0.5000 0.5000 0.1972  4 Sr 2.90

Values from the calculation:
- Formation energy (no corrections): -3.7 kcal/mol of atoms
- Relative energy among the computed polymorphs: 73 meV/atom
- Space-group type: No. 99

[6]
SrReCl2: relaxed, GGA-PBE.

Unit cell a=3.3268 b=4.5438 c=6.1919 alpha=90.00 beta=90.00 gamma=90.00
Closest atoms and distances in Å follow each position.
Sites, in units of the cell vectors:
1 Sr 0.0000 0.0000 0.0000  4 Cl 2.82
2 Re 0.5000 0.0000 0.5000  4 Cl 2.82
3 Cl 0.0000 0.5000 0.5000  4 Re 2.82
4 Cl 0.5000 0.5000 0.0000  4 Sr 2.82

Values from the calculation:
- Formation energy (no corrections): 0.9 kcal/mol of atoms
- Relative energy among the computed polymorphs: 272 meV/atom
- Space-group type: No. 47

[7]
SrReCl2: relaxed, GGA-PBE.

Unit cell a=10.7155 b=10.7155 c=10.7155 alpha=22.56 beta=22.56 gamma=22.56
Closest atoms and distances in Å follow each position.
Sites, in units of the cell vectors:
1 Sr 0.0000 0.0000 0.0000  6 Cl 2.87
2 Re 0.5000 0.5000 0.5000  6 Re 4.19, 6 Cl 4.40
3 Cl 0.2839 0.2839 0.2839  3 Sr 2.87
4 Cl 0.7161 0.7161 0.7161  3 Sr 2.87

Values from the calculation:
- Formation energy (no corrections): 0.1 kcal/mol of atoms
- Relative energy among the computed polymorphs: 240 meV/atom
- Space-group type: No. 166

[8]
Sr2ReCl: relaxed, GGA-PBE.

Unit cell a=5.3850 b=5.3850 c=5.3850 alpha=60.00 beta=60.00 gamma=60.00
Closest atoms and distances in Å follow each position.
Sites, in units of the cell vectors:
1 Sr 0.0000 0.0000 0.0000  4 Cl 3.30, 4 Sr 3.30
2 Sr 0.2500 0.2500 0.2500  4 Re 3.30, 4 Sr 3.30
3 Re 0.5000 0.5000 0.5000  4 Cl 3.30, 4 Sr 3.30
4 Cl 0.7500 0.7500 0.7500  4 Re 3.30, 4 Sr 3.30

Values from the calculation:
- Formation energy (no corrections): 17.7 kcal/mol of atoms
- Relative energy among the computed polymorphs: 866 meV/atom
- Space-group type: No. 216

[9]
SrReCl2: relaxed, GGA-PBE.

Unit cell a=7.8932 b=7.8932 c=7.8932 alpha=29.26 beta=29.26 gamma=29.26
Closest atoms and distances in Å follow each position.
Sites, in units of the cell vectors:
1 Sr 0.0000 0.0000 0.0000  2 Cl 2.83
2 Re 0.5000 0.5000 0.5000  6 Cl 2.49
3 Cl 0.1250 0.1250 0.1250  3 Re 2.49
4 Cl 0.8750 0.8750 0.8750  3 Re 2.49

Values from the calculation:
- Formation energy (no corrections): 5.1 kcal/mol of atoms
- Relative energy among the computed polymorphs: 457 meV/atom
- Space-group type: No. 166

[10]
Ta2ReCl: relaxed, GGA-PBE.

Unit cell a=5.5464 b=5.5464 c=5.5464 alpha=148.73 beta=131.32 gamma=59.01
Closest atoms and distances in Å follow each position.
Sites, in units of the cell vectors:
1 Ta 0.0000 0.0000 0.0000  2 Cl 2.67, 4 Re 2.75, 2 Ta 2.99
2 Ta 0.7195 0.2195 0.5000  4 Cl 2.73, 2 Re 2.87, 2 Ta 2.99
3 Re 0.4655 0.4655 0.0000  2 Cl 2.73, 6 Ta 2.75-2.87, 2 Re 2.99
4 Cl 0.2293 0.7293 0.5000  6 Ta 2.67-2.73, 2 Re 2.73, 2 Cl 2.99

Values from the calculation:
- Formation energy (no corrections): 11.1 kcal/mol of atoms
- Relative energy among the computed polymorphs: 587 meV/atom
- Space-group type: No. 44

[11]
TaRe2Cl: relaxed, GGA-PBE.

Unit cell a=5.6281 b=5.6281 c=5.6281 alpha=102.71 beta=102.71 gamma=124.06
Closest atoms and distances in Å follow each position.
Sites, in units of the cell vectors:
1 Ta 0.0000 0.0000 0.0000  2 Cl 2.64, 8 Re 2.90-2.95
2 Ta 0.7500 0.2500 0.5000  2 Cl 2.64, 8 Re 2.90-2.95
3 Re 0.1896 0.1250 0.5646  2 Cl 2.29
4 Re 0.3750 0.8104 0.9354  2 Cl 2.29
5 Re 0.5604 0.6250 0.4354  2 Cl 2.29
6 Re 0.8750 0.4396 0.0646  2 Cl 2.29
7 Cl 0.2500 0.7500 0.5000  4 Re 2.29
8 Cl 0.5000 0.5000 0.0000  4 Re 2.29

Values from the calculation:
- Formation energy (no corrections): 25.9 kcal/mol of atoms
- Relative energy among the computed polymorphs: 1010 meV/atom
- Space-group type: No. 122

[12]
Ta2ReCl: relaxed, GGA-PBE.

Unit cell a=4.9521 b=4.9521 c=4.9521 alpha=139.42 beta=116.51 gamma=78.13
Closest atoms and distances in Å follow each position.
Sites, in units of the cell vectors:
1 Ta 0.2323 0.2323 0.0000  2 Cl 2.48, 2 Re 2.68
2 Ta 0.7677 0.7677 0.0000  2 Cl 2.48, 2 Re 2.68
3 Re 0.5000 0.0000 0.5000  4 Ta 2.68
4 Cl 0.0000 0.5000 0.5000  4 Ta 2.48

Values from the calculation:
- Formation energy (no corrections): 12.9 kcal/mol of atoms
- Relative energy among the computed polymorphs: 663 meV/atom
- Space-group type: No. 71